(1)
The following is a DFT calculation (PBEsol) of crystalline Mg2Cu at its relaxed geometry.

Properties
Size of the total moment   0.0 μB/cell
SG   C2/m, No. 12
Calculated formation energy   28 meV/atom

Unit cell a=5.537 b=5.537 c=6.600 alpha=106.90 beta=106.90 gamma=32.85
Fractional positions:
Mg (0.000, 0.000, 0.000)
Mg (0.000, 0.000, 0.500)
Mg (0.302, 0.302, 0.694)
Mg (0.698, 0.698, 0.306)
Cu (0.333, 0.333, 0.127)
Cu (0.667, 0.667, 0.873)


(2)
The following is a DFT calculation (PBEsol) of crystalline MgCu at its relaxed geometry.

Properties
Size of the total moment   0.0 μB/cell
SG   Pm-3m, No. 221
Calculated formation energy   -57 meV/atom

Unit cell a=3.099 b=3.099 c=3.099 alpha=90.00 beta=90.00 gamma=90.00
Fractional positions:
Mg (0.000, 0.000, 0.000)
Cu (0.500, 0.500, 0.500)


(3)
The following is a DFT calculation (PBEsol) of crystalline Mg5Cu24 at its relaxed geometry.

Properties
Size of the total moment   0.0 μB/cell
SG   I-43m, No. 217
Calculated formation energy   -14 meV/atom

Unit cell a=7.757 b=7.757 c=7.757 alpha=109.47 beta=109.47 gamma=109.47
Fractional positions:
Mg (0.000, 0.000, 0.000)
Mg (0.000, 0.000, 0.629)
Mg (0.000, 0.629, 0.000)
Mg (0.371, 0.371, 0.371)
Mg (0.629, 0.000, 0.000)
Cu (0.000, 0.191, 0.379)
Cu (0.000, 0.379, 0.191)
Cu (0.000, 0.403, 0.677)
Cu (0.000, 0.677, 0.403)
Cu (0.187, 0.809, 0.809)
Cu (0.191, 0.000, 0.379)
Cu (0.191, 0.379, 0.000)
Cu (0.274, 0.597, 0.597)
Cu (0.323, 0.323, 0.726)
Cu (0.323, 0.726, 0.323)
Cu (0.379, 0.000, 0.191)
Cu (0.379, 0.191, 0.000)
Cu (0.403, 0.000, 0.677)
Cu (0.403, 0.677, 0.000)
Cu (0.597, 0.274, 0.597)
Cu (0.597, 0.597, 0.274)
Cu (0.621, 0.621, 0.813)
Cu (0.621, 0.813, 0.621)
Cu (0.677, 0.000, 0.403)
Cu (0.677, 0.403, 0.000)
Cu (0.726, 0.323, 0.323)
Cu (0.809, 0.187, 0.809)
Cu (0.809, 0.809, 0.187)
Cu (0.813, 0.621, 0.621)


(4)
The following is a DFT calculation (PBEsol) of crystalline Mg4Cu3 at its relaxed geometry.

Properties
Size of the total moment   0.0 μB/cell
SG   P6/mmm, No. 191
Calculated formation energy   -34 meV/atom

Unit cell a=4.989 b=4.989 c=5.215 alpha=90.00 beta=90.00 gamma=120.00
Fractional positions:
Mg (0.000, 0.000, 0.246)
Mg (0.000, 0.000, 0.754)
Mg (0.333, 0.667, 0.500)
Mg (0.667, 0.333, 0.500)
Cu (0.000, 0.500, 0.000)
Cu (0.500, 0.000, 0.000)
Cu (0.500, 0.500, 0.000)


(5)
The following is a DFT calculation (PBEsol) of crystalline Mg3Cu2 at its relaxed geometry.

Properties
Size of the total moment   0.0 μB/cell
SG   P-3m1, No. 164
Calculated formation energy   -3 meV/atom

Unit cell a=4.368 b=4.368 c=5.336 alpha=90.00 beta=90.00 gamma=120.00
Fractional positions:
Mg (0.000, 0.000, 0.000)
Mg (0.333, 0.667, 0.353)
Mg (0.667, 0.333, 0.647)
Cu (0.333, 0.667, 0.867)
Cu (0.667, 0.333, 0.133)


(6)
The following is a DFT calculation (PBEsol) of crystalline MgCu at its relaxed geometry.

Properties
Size of the total moment   0.0 μB/cell
SG   Cmcm, No. 63
Calculated formation energy   -36 meV/atom

Unit cell a=5.209 b=5.209 c=4.186 alpha=90.00 beta=90.00 gamma=146.89
Fractional positions:
Mg (0.158, 0.842, 0.750)
Mg (0.842, 0.158, 0.250)
Cu (0.433, 0.567, 0.750)
Cu (0.567, 0.433, 0.250)


(7)
The following is a DFT calculation (PBEsol) of crystalline Mg17Cu12 at its relaxed geometry.

Properties
Size of the total moment   0.0 μB/cell
SG   I-43m, No. 217
Calculated formation energy   -26 meV/atom

Unit cell a=8.465 b=8.465 c=8.465 alpha=109.47 beta=109.47 gamma=109.47
Fractional positions:
Mg (0.000, 0.000, 0.000)
Mg (0.000, 0.000, 0.666)
Mg (0.000, 0.402, 0.688)
Mg (0.000, 0.666, 0.000)
Mg (0.000, 0.688, 0.402)
Mg (0.286, 0.598, 0.598)
Mg (0.312, 0.312, 0.714)
Mg (0.312, 0.714, 0.312)
Mg (0.334, 0.334, 0.334)
Mg (0.402, 0.000, 0.688)
Mg (0.402, 0.688, 0.000)
Mg (0.598, 0.286, 0.598)
Mg (0.598, 0.598, 0.286)
Mg (0.666, 0.000, 0.000)
Mg (0.688, 0.000, 0.402)
Mg (0.688, 0.402, 0.000)
Mg (0.714, 0.312, 0.312)
Cu (0.000, 0.183, 0.363)
Cu (0.000, 0.363, 0.183)
Cu (0.180, 0.817, 0.817)
Cu (0.183, 0.000, 0.363)
Cu (0.183, 0.363, 0.000)
Cu (0.363, 0.000, 0.183)
Cu (0.363, 0.183, 0.000)
Cu (0.637, 0.637, 0.820)
Cu (0.637, 0.820, 0.637)
Cu (0.817, 0.180, 0.817)
Cu (0.817, 0.817, 0.180)
Cu (0.820, 0.637, 0.637)


(8)
The following is a DFT calculation (PBEsol) of crystalline Mg2Cu at its relaxed geometry.

Properties
Size of the total moment   0.0 μB/cell
SG   P-62m, No. 189
Calculated formation energy   -12 meV/atom

Unit cell a=6.990 b=6.990 c=3.786 alpha=90.00 beta=90.00 gamma=120.00
Fractional positions:
Mg (0.000, 0.255, 0.000)
Mg (0.000, 0.592, 0.500)
Mg (0.255, 0.000, 0.000)
Mg (0.408, 0.408, 0.500)
Mg (0.592, 0.000, 0.500)
Mg (0.745, 0.745, 0.000)
Cu (0.000, 0.000, 0.500)
Cu (0.333, 0.667, 0.000)
Cu (0.667, 0.333, 0.000)


(9)
The following is a DFT calculation (PBEsol) of crystalline Mg3Cu at its relaxed geometry.

Properties
Size of the total moment   0.0 μB/cell
SG   Immm, No. 71
Calculated formation energy   8 meV/atom

Unit cell a=5.591 b=5.591 c=5.591 alpha=146.63 beta=129.30 gamma=62.07
Fractional positions:
Mg (0.000, 0.000, 0.000)
Mg (0.283, 0.783, 0.500)
Mg (0.717, 0.217, 0.500)
Cu (0.500, 0.500, 0.000)


(10)
The following is a DFT calculation (PBEsol) of crystalline MgCu3 at its relaxed geometry.

Properties
Size of the total moment   0.0 μB/cell
SG   C2/m, No. 12
Calculated formation energy   17 meV/atom

Unit cell a=4.563 b=4.563 c=4.390 alpha=103.42 beta=103.42 gamma=35.21
Fractional positions:
Mg (0.000, 0.000, 0.000)
Cu (0.241, 0.241, 0.735)
Cu (0.500, 0.500, 0.500)
Cu (0.759, 0.759, 0.265)


(11)
The following is a DFT calculation (PBEsol) of crystalline Mg3Cu at its relaxed geometry.

Properties
Size of the total moment   0.0 μB/cell
SG   Pmmn, No. 59
Calculated formation energy   14 meV/atom

Unit cell a=4.701 b=5.895 c=5.214 alpha=90.00 beta=90.00 gamma=90.00
Fractional positions:
Mg (0.250, 0.001, 0.167)
Mg (0.250, 0.250, 0.635)
Mg (0.250, 0.499, 0.167)
Mg (0.750, 0.501, 0.833)
Mg (0.750, 0.750, 0.365)
Mg (0.750, 0.999, 0.833)
Cu (0.250, 0.750, 0.686)
Cu (0.750, 0.250, 0.314)


(12)
The following is a DFT calculation (PBEsol) of crystalline MgCu at its relaxed geometry.

Properties
Size of the total moment   0.0 μB/cell
SG   Cm, No. 8
Calculated formation energy   -18 meV/atom

Unit cell a=5.183 b=5.183 c=6.210 alpha=107.29 beta=107.29 gamma=35.04
Fractional positions:
Mg (0.000, 0.000, 0.000)
Mg (0.003, 0.003, 0.538)
Mg (0.304, 0.304, 0.180)
Cu (0.314, 0.314, 0.663)
Cu (0.660, 0.660, 0.372)
Cu (0.684, 0.684, 0.834)


(13)
The following is a DFT calculation (PBEsol) of crystalline MgCu3 at its relaxed geometry.

Properties
Size of the total moment   0.0 μB/cell
SG   I4/mmm, No. 139
Calculated formation energy   -33 meV/atom

Unit cell a=4.507 b=4.507 c=4.507 alpha=131.29 beta=131.29 gamma=71.36
Fractional positions:
Mg (0.000, 0.000, 0.000)
Cu (0.250, 0.750, 0.500)
Cu (0.500, 0.500, 0.000)
Cu (0.750, 0.250, 0.500)


(14)
The following is a DFT calculation (PBEsol) of crystalline Mg3Cu at its relaxed geometry.

Properties
Size of the total moment   0.0 μB/cell
SG   P4/mmm, No. 123
Calculated formation energy   -24 meV/atom

Unit cell a=3.145 b=3.145 c=7.495 alpha=90.00 beta=90.00 gamma=90.00
Fractional positions:
Mg (0.000, 0.000, 0.000)
Mg (0.500, 0.500, 0.297)
Mg (0.500, 0.500, 0.703)
Cu (0.000, 0.000, 0.500)


(15)
The following is a DFT calculation (PBEsol) of crystalline Mg2Cu at its relaxed geometry.

Properties
Size of the total moment   0.0 μB/cell
SG   Cmmm, No. 65
Calculated formation energy   12 meV/atom

Unit cell a=7.094 b=7.094 c=3.331 alpha=90.00 beta=90.00 gamma=142.62
Fractional positions:
Mg (0.000, 0.000, 0.000)
Mg (0.181, 0.819, 0.500)
Mg (0.500, 0.500, 0.500)
Mg (0.819, 0.181, 0.500)
Cu (0.341, 0.659, 0.000)
Cu (0.659, 0.341, 0.000)


(16)
The following is a DFT calculation (PBEsol) of crystalline MgCu3 at its relaxed geometry.

Properties
Size of the total moment   0.0 μB/cell
SG   Pmmm, No. 47
Calculated formation energy   -6 meV/atom

Unit cell a=2.832 b=3.273 c=5.564 alpha=90.00 beta=90.00 gamma=90.00
Fractional positions:
Mg (0.000, 0.000, 0.000)
Cu (0.000, 0.000, 0.500)
Cu (0.500, 0.500, 0.277)
Cu (0.500, 0.500, 0.723)


(17)
The following is a DFT calculation (PBEsol) of crystalline Mg2Cu at its relaxed geometry.

Properties
Size of the total moment   0.0 μB/cell
SG   P-3m1, No. 164
Calculated formation energy   53 meV/atom

Unit cell a=4.510 b=4.510 c=2.892 alpha=90.00 beta=90.00 gamma=120.00
Fractional positions:
Mg (0.333, 0.667, 0.287)
Mg (0.667, 0.333, 0.713)
Cu (0.000, 0.000, 0.000)


(18)
The following is a DFT calculation (PBEsol) of crystalline MgCu at its relaxed geometry.

Properties
Size of the total moment   0.0 μB/cell
SG   Pbcm, No. 57
Calculated formation energy   -8 meV/atom

Unit cell a=8.969 b=7.722 c=5.353 alpha=90.00 beta=90.00 gamma=90.00
Fractional positions:
Mg (0.123, 0.250, 0.000)
Mg (0.123, 0.250, 0.500)
Mg (0.180, 0.631, 0.250)
Mg (0.180, 0.869, 0.750)
Mg (0.370, 0.038, 0.250)
Mg (0.370, 0.462, 0.750)
Mg (0.630, 0.538, 0.250)
Mg (0.630, 0.962, 0.750)
Mg (0.820, 0.131, 0.250)
Mg (0.820, 0.369, 0.750)
Mg (0.877, 0.750, 0.000)
Mg (0.877, 0.750, 0.500)
Cu (0.074, 0.546, 0.750)
Cu (0.074, 0.954, 0.250)
Cu (0.369, 0.121, 0.750)
Cu (0.369, 0.379, 0.250)
Cu (0.427, 0.750, 0.000)
Cu (0.427, 0.750, 0.500)
Cu (0.573, 0.250, 0.000)
Cu (0.573, 0.250, 0.500)
Cu (0.631, 0.621, 0.750)
Cu (0.631, 0.879, 0.250)
Cu (0.926, 0.046, 0.750)
Cu (0.926, 0.454, 0.250)


(19)
The following is a DFT calculation (PBEsol) of crystalline Mg4Cu3 at its relaxed geometry.

Properties
Size of the total moment   0.0 μB/cell
SG   I4/mmm, No. 139
Calculated formation energy   -34 meV/atom

Unit cell a=12.189 b=12.189 c=12.189 alpha=165.45 beta=165.45 gamma=20.63
Fractional positions:
Mg (0.065, 0.065, 0.000)
Mg (0.340, 0.340, 0.000)
Mg (0.660, 0.660, 0.000)
Mg (0.935, 0.935, 0.000)
Cu (0.226, 0.226, 0.000)
Cu (0.500, 0.500, 0.000)
Cu (0.774, 0.774, 0.000)


(20)
The following is a DFT calculation (PBEsol) of crystalline MgCu at its relaxed geometry.

Properties
Size of the total moment   0.0 μB/cell
SG   I4_1/amd, No. 141
Calculated formation energy   -17 meV/atom

Unit cell a=4.931 b=4.931 c=4.931 alpha=134.96 beta=134.96 gamma=65.60
Fractional positions:
Mg (0.375, 0.625, 0.750)
Mg (0.625, 0.375, 0.250)
Cu (0.125, 0.875, 0.250)
Cu (0.875, 0.125, 0.750)